No. 1
Material: Lu6TlRe2
Method: DFT, PBE-GGA
State: optimized geometry

Calculated values
For the calculated volume, the calculation gives 32.9 Å³ per atom. For the magnetic moment, the calculation gives 0.02 μB/f.u. For the total energy, the calculation gives -5.6794 eV per atom. As for the density: 9.1 Mg/m³. The crystal system is tetragonal.

extended XYZ file:
```
9
Lattice="5.2176 0.0000 0.0000 0.0000 5.2176 0.0000 0.0000 0.0000 10.8750" Properties=species:S:1:pos:R:3 pbc="T T T"
Lu 0.0000 0.0000 0.0000
Lu 0.0000 0.0000 5.4375
Lu 0.0000 2.6088 2.3318
Lu 0.0000 2.6088 8.5432
Lu 2.6088 0.0000 2.3318
Lu 2.6088 0.0000 8.5432
Tl 2.6088 2.6088 0.0000
Re 0.0000 0.0000 2.8459
Re 0.0000 0.0000 8.0291
```

***

No. 2
Material: BaMoAu2Se4
Method: DFT, PBE-GGA
State: optimized geometry

Calculated values
For the calculated volume, the calculation gives 28.2 Å³ per atom. For the magnetic moment, the calculation gives 2.00 μB/f.u. For the total energy, the calculation gives -4.7136 eV per atom. As for the density: 7.0 Mg/m³. The crystal system is orthorhombic.

extended XYZ file:
```
8
Lattice="-3.3447 3.9582 4.2533 3.3447 -3.9582 4.2533 3.3447 3.9582 -4.2533" Properties=species:S:1:pos:R:3 pbc="T T T"
Ba 0.0000 0.0000 0.0000
Mo 0.0000 0.0000 4.2533
Au 3.3447 0.0000 2.8181
Au 0.0000 3.9582 1.4351
Se 2.0189 2.4969 -1.4572
Se 1.3258 -1.4613 5.7105
Se 1.3258 1.4613 2.7961
Se 2.0189 5.4195 1.4572
```

***

No. 3
Material: LaPr2Ni2C2N3
Method: DFT, PBE-GGA
State: optimized geometry

Calculated values
For the calculated volume, the calculation gives 13.4 Å³ per atom. For the magnetic moment, the calculation gives 0.02 μB/f.u. For the total energy, the calculation gives -7.5898 eV per atom. As for the density: 7.5 Mg/m³. The crystal system is tetragonal.

extended XYZ file:
```
10
Lattice="-1.8210 1.8210 10.0993 1.8210 -1.8210 10.0993 1.8210 1.8210 -10.0993" Properties=species:S:1:pos:R:3 pbc="T T T"
La 0.0000 0.0000 0.0000
Pr 0.0000 0.0000 7.4817
Pr 0.0000 0.0000 12.7168
Ni 1.8210 0.0000 5.0496
Ni 0.0000 1.8210 5.0496
C 0.0000 0.0000 3.9114
C 0.0000 0.0000 16.2871
N 0.0000 0.0000 2.5308
N 0.0000 0.0000 10.0993
N 0.0000 0.0000 17.6678
```

***

No. 4
Material: TaF2
Method: DFT, PBE-GGA
State: optimized geometry

Calculated values
For the calculated volume, the calculation gives 34.4 Å³ per atom. For the magnetic moment, the calculation gives 2.68 μB/f.u. For the total energy, the calculation gives -6.0401 eV per atom. The calculation puts the energy relative to the lowest polymorph listed for this composition at 1.50 eV per formula unit. As for the density: 3.5 Mg/m³. The crystal system is cubic.

extended XYZ file:
```
6
Lattice="0.0000 4.6899 4.6899 4.6899 0.0000 4.6899 4.6899 4.6899 0.0000" Properties=species:S:1:pos:R:3 pbc="T T T"
Ta 1.1725 1.1725 1.1725
Ta 8.2073 8.2073 8.2073
F 0.0000 0.0000 0.0000
F 2.3449 2.3449 0.0000
F 2.3449 0.0000 2.3449
F 0.0000 2.3449 2.3449
```

***

No. 5
Material: CoRe12
Method: DFT, PBE-GGA
State: optimized geometry

Calculated values
For the calculated volume, the calculation gives 14.9 Å³ per atom. For the magnetic moment, the calculation gives 0.21 μB/f.u. For the total energy, the calculation gives -11.8222 eV per atom. As for the density: 19.7 Mg/m³. The formation energy from the elements comes out at 0.192 eV per atom. The crystal system is trigonal.

extended XYZ file:
```
13
Lattice="2.5098 1.4490 8.8647 -2.5098 1.4490 8.8647 0.0000 -2.8980 8.8647" Properties=species:S:1:pos:R:3 pbc="T T T"
Co 0.0000 0.0000 0.0000
Re 0.0000 -1.4405 6.8225
Re -1.2475 0.7203 6.8225
Re 0.0000 0.0000 4.4044
Re 0.0000 0.0000 9.2382
Re -1.2476 -0.7203 19.7716
Re 0.0000 0.0000 12.0409
Re 0.0000 0.0000 14.5532
Re 1.2476 0.7203 6.8225
Re 0.0000 0.0000 17.3559
Re 0.0000 0.0000 22.1897
Re 1.2475 -0.7203 19.7716
Re 0.0000 1.4405 19.7716
```

***

No. 6
Material: LiNpZn
Method: DFT, PBE-GGA
State: optimized geometry

Calculated values
For the calculated volume, the calculation gives 24.5 Å³ per atom. For the magnetic moment, the calculation gives 5.08 μB/f.u. For the total energy, the calculation gives -4.6299 eV per atom. The calculation puts the energy relative to the lowest polymorph listed for this composition at 0.00 eV per formula unit. As for the density: 7.0 Mg/m³. The crystal system is cubic.

extended XYZ file:
```
3
Lattice="0.0000 3.3241 3.3241 3.3241 0.0000 3.3241 3.3241 3.3241 0.0000" Properties=species:S:1:pos:R:3 pbc="T T T"
Li 0.0000 0.0000 0.0000
Np 3.3241 3.3241 3.3241
Zn 1.6621 1.6621 1.6621
```

***

No. 7
Material: BaScPa
Method: DFT, PBE-GGA
State: optimized geometry

Calculated values
For the calculated volume, the calculation gives 36.2 Å³ per atom. For the magnetic moment, the calculation gives 1.72 μB/f.u. For the total energy, the calculation gives -4.5883 eV per atom. The calculation puts the energy relative to the lowest polymorph listed for this composition at 0.00 eV per formula unit. As for the density: 6.3 Mg/m³. The crystal system is cubic.

extended XYZ file:
```
3
Lattice="0.0000 3.7877 3.7877 3.7877 0.0000 3.7877 3.7877 3.7877 0.0000" Properties=species:S:1:pos:R:3 pbc="T T T"
Ba 0.0000 0.0000 0.0000
Sc 1.8938 1.8938 1.8938
Pa 3.7877 3.7877 3.7877
```

***

No. 8
Material: Y2Lu4In3N3
Method: DFT, PBE-GGA
State: optimized geometry

Calculated values
For the calculated volume, the calculation gives 20.0 Å³ per atom. For the magnetic moment, the calculation gives 0.00 μB/f.u. For the total energy, the calculation gives -6.4304 eV per atom. As for the density: 8.8 Mg/m³. The crystal system is monoclinic.

extended XYZ file:
```
24
Lattice="5.1976 -2.9996 0.0000 5.1976 2.9996 0.0000 -3.4974 0.0000 15.3614" Properties=species:S:1:pos:R:3 pbc="T T T"
Y 2.5998 2.5077 9.1575
Y 2.5493 2.5077 13.8846
Y 4.3486 -2.5077 1.4768
Y 4.2980 -2.5077 6.2039
Lu 2.5750 0.4883 1.2289
Lu 2.5867 0.5273 6.4511
Lu 0.8263 -0.4883 8.9096
Lu 0.8379 -0.5273 14.1319
Lu 6.0599 0.5273 1.2296
Lu 6.0716 0.4883 6.4519
Lu 4.3111 -0.5273 8.9103
Lu 4.3228 -0.4883 14.1326
In -0.5389 0.6985 11.5280
In 1.2098 -0.6985 3.8473
In 2.5745 0.0890 11.5211
In 4.3233 -0.0890 3.8404
In 5.6880 0.6985 11.5141
In 7.4367 -0.6985 3.8334
N 0.8501 1.4998 7.6807
N 4.3187 1.4786 0.0000
N 4.3279 1.4786 7.6807
N 2.5988 -1.4998 0.0000
N 2.5699 -1.4786 7.6807
N 6.0766 -1.4786 0.0000
```

***

No. 9
Material: Ba2LiIrSe6
Method: DFT, PBE-GGA
State: optimized geometry

Calculated values
For the calculated volume, the calculation gives 25.6 Å³ per atom. For the magnetic moment, the calculation gives 2.38 μB/f.u. For the total energy, the calculation gives -4.4181 eV per atom. As for the density: 6.1 Mg/m³. The crystal system is monoclinic.

extended XYZ file:
```
10
Lattice="6.1747 -3.5664 0.0000 6.1747 3.5664 0.0000 -4.1151 0.0000 5.8232" Properties=species:S:1:pos:R:3 pbc="T T T"
Ba 2.0588 0.0000 1.4564
Ba 6.1756 0.0000 4.3668
Li -2.0575 0.0000 2.9116
Ir 6.1747 0.0000 0.0000
Se 3.0622 1.7650 4.3713
Se 0.0062 0.0000 4.4048
Se 5.1722 1.7650 1.4520
Se 3.0622 -1.7650 4.3713
Se 8.2282 0.0000 1.4184
Se 5.1722 -1.7650 1.4520
```

***

No. 10
Material: HfReAu
Method: DFT, PBE-GGA
State: optimized geometry

Calculated values
For the calculated volume, the calculation gives 20.9 Å³ per atom. For the magnetic moment, the calculation gives 0.64 μB/f.u. For the total energy, the calculation gives -7.8931 eV per atom. The calculation puts the energy relative to the lowest polymorph listed for this composition at 0.00 eV per formula unit. As for the density: 14.9 Mg/m³. The formation energy from the elements comes out at 0.655 eV per atom. The crystal system is cubic.

extended XYZ file:
```
3
Lattice="0.0000 3.1542 3.1542 3.1542 0.0000 3.1542 3.1542 3.1542 0.0000" Properties=species:S:1:pos:R:3 pbc="T T T"
Hf 0.0000 0.0000 0.0000
Re 4.7313 4.7313 4.7313
Au 3.1542 3.1542 3.1542
```

***

No. 11
Material: Zr2Si
Method: DFT, PBE-GGA
State: optimized geometry

Calculated values
For the calculated volume, the calculation gives 21.0 Å³ per atom. For the magnetic moment, the calculation gives 0.01 μB/f.u. For the total energy, the calculation gives -7.1165 eV per atom. As for the density: 5.5 Mg/m³. The crystal system is cubic.

extended XYZ file:
```
6
Lattice="0.0000 3.9808 3.9808 3.9808 0.0000 3.9808 3.9808 3.9808 0.0000" Properties=species:S:1:pos:R:3 pbc="T T T"
Zr 0.0000 0.0000 0.0000
Zr 1.9904 1.9904 0.0000
Zr 1.9904 0.0000 1.9904
Zr 0.0000 1.9904 1.9904
Si 2.9856 2.9856 2.9856
Si 4.9760 4.9760 4.9760
```